Entry 1:
VASP calculation (PBE) on crystalline IrCl at its relaxed geometry.

Cell: 3.0671 3.0671 28.4369 Å, 90.00 90.00 120.00°
Space group R-3m (No. 166, hexagonal axes)
Unique sites:
Ir 0.0000 0.0000 0.1330 (multiplicity 6)
Cl 0.0000 0.0000 0.4010 (multiplicity 6)

Calculated total energy ... -5.026 eV/atom
ΔE_f (raw) ... 0.33 eV/atom
Crystal system ... trigonal
Energy above the lowest structure with this stoichiometry ... 0.39 eV/f.u.

Entry 2:
VASP calculation (PBE) on crystalline CrCoTc2 at its relaxed geometry.

Cell: 2.579 3.859 5.259 Å, 90.00 97.13 90.00°
Space group P2/m (No. 10)
Unique sites:
Cr 0.000 0.000 0.000 (multiplicity 1)
Co 0.000 0.000 0.500 (multiplicity 1)
Tc 0.421 0.500 0.255 (multiplicity 2)

Calculated total energy ... -9.221 eV/atom
Energy of formation ... 0.578 eV/f.u.
Crystal system ... monoclinic
Energy above the lowest structure with this stoichiometry ... 0.33 eV/f.u.

Entry 3:
VASP calculation (PBE) on crystalline CaPrNd2Sm5 at its relaxed geometry.

Cell: 9.124 9.124 15.406 Å, 90.00 90.00 90.00°
Space group I4/mcm (No. 140)
Unique sites:
Ca 0.000 0.500 0.250 (multiplicity 4)
Pr 0.000 0.000 0.250 (multiplicity 4)
Nd 0.115 0.385 0.000 (multiplicity 8)
Sm 0.000 0.000 0.000 (multiplicity 4)
Sm 0.205 0.295 0.370 (multiplicity 16)

Calculated total energy ... -4.167 eV/atom
Energy of formation ... 2.409 eV/f.u.
Crystal system ... tetragonal

> Which value of calculated total energy does entry 1 give?

-5.026 eV/atom

> calculated total energy of number 2 (CrCoTc2)?

-9.221 eV/atom

> What is the formula in the first record?

IrCl

> Number 1 is which compound?

IrCl